Density functional theory data (PBE-GGA) for crystalline YTe4Pb at its relaxed geometry.

Structure (POSCAR):
```
YTe4Pb
1.0
0.5599 -5.0951 3.7908
-4.9767 -3.8885 0.8695
0.0525 -5.8565 -2.5184
Y Te Pb
1 4 1
direct
0.7500 0.7500 0.7500 Y
0.3755 0.8736 0.3755 Te
0.8736 0.3755 0.3755 Te
0.3755 0.3755 0.8736 Te
0.3755 0.3755 0.3755 Te
0.0000 0.0000 0.0000 Pb
```

energy relative to the elements, uncorrected = 0.091 eV per atom
space group = F-43m (216)
D(E_F) = 4.40 states/eV per cell
total magnetic moment = 0.0 μB per cell

***

Density functional theory data (PBE-GGA) for crystalline Y4Te2Pb at its relaxed geometry.

Structure (POSCAR):
```
Y4Te2Pb
1.0
-5.2656 0.8910 2.1388
1.2470 -3.3860 4.4805
0.5991 4.8497 7.1915
Pb Y Te
1 4 2
direct
0.0000 0.0000 0.0000 Pb
0.1988 0.1988 0.6025 Y
0.8012 0.8012 0.3975 Y
0.0000 0.5000 0.0000 Y
0.5000 0.0000 0.0000 Y
0.3890 0.3890 0.2220 Te
0.6110 0.6110 0.7780 Te
```

energy relative to the elements, uncorrected = -0.351 eV per atom
energy above the lowest structure with this stoichiometry = 0.503 eV per atom
space group = I4/mmm (139)
D(E_F) = 6.93 states/eV per cell
total magnetic moment = 0.0 μB per cell

***

Density functional theory data (PBE-GGA) for crystalline Y4TePb3 at its relaxed geometry.

Structure (POSCAR):
```
Y4TePb3
1.0
-1.0907 -2.3389 -3.2031
-1.2357 -5.5315 5.4907
-7.3363 1.2181 2.6394
Y Pb Te
4 3 1
direct
0.0000 0.7461 0.7539 Y
0.5123 0.7500 0.2499 Y
0.0000 0.2541 0.2460 Y
0.4875 0.2502 0.7501 Y
0.5000 0.0001 0.5000 Pb
0.9999 0.0001 0.0000 Pb
0.9999 0.5001 0.4999 Pb
0.5000 0.5001 0.0000 Te
```

energy relative to the elements, uncorrected = -0.685 eV per atom
space group = C2/m (12)
D(E_F) = 3.80 states/eV per cell
total magnetic moment = 0.0 μB per cell

***

Density functional theory data (PBE-GGA) for crystalline Y2TePb at its relaxed geometry.

Structure (POSCAR):
```
Y2TePb
1.0
4.4217 0.0000 0.0000
0.0000 4.4133 0.0000
0.0000 0.0000 6.2311
Pb Y Te
1 2 1
direct
0.0000 0.0000 0.3747 Pb
0.0000 0.0000 0.8747 Y
0.5000 0.5000 0.3753 Y
0.5000 0.5000 0.8753 Te
```

energy relative to the elements, uncorrected = -0.974 eV per atom
energy above the lowest structure with this stoichiometry = 0.014 eV per atom
space group = P4/mmm (123)
D(E_F) = 1.21 states/eV per cell
total magnetic moment = 0.0 μB per cell

***

Density functional theory data (PBE-GGA) for crystalline YTe4Pb2 at its relaxed geometry.

Structure (POSCAR):
```
YTe4Pb2
1.0
4.3918 0.0000 0.0000
-2.1959 7.5806 0.0000
0.0000 0.0000 14.7043
Y Te Pb
2 8 4
direct
0.6075 0.2150 0.7500 Y
0.3925 0.7850 0.2500 Y
0.7863 0.5725 0.1370 Te
0.7863 0.5725 0.3630 Te
0.2137 0.4275 0.8630 Te
0.2137 0.4275 0.6370 Te
0.9650 0.9299 0.7500 Te
0.0350 0.0701 0.2500 Te
0.5000 0.0000 0.0000 Te
0.5000 0.0000 0.5000 Te
0.1344 0.2689 0.4354 Pb
0.8656 0.7311 0.9354 Pb
0.1344 0.2689 0.0646 Pb
0.8656 0.7311 0.5646 Pb
```

energy relative to the elements, uncorrected = -0.616 eV per atom
space group = Cmcm (63)
D(E_F) = 8.84 states/eV per cell
total magnetic moment = 0.0 μB per cell

***

Density functional theory data (PBE-GGA) for crystalline Y2TePb at its relaxed geometry.

Structure (POSCAR):
```
Y2TePb
1.0
6.7848 0.0000 0.0000
0.0000 6.7848 0.0000
3.3924 3.3924 7.3568
Pb Y Te
2 4 2
direct
0.0000 0.0000 0.0000 Pb
0.7500 0.2500 0.5000 Pb
0.6348 0.1250 0.2500 Y
0.1152 0.6250 0.2500 Y
0.3750 0.3652 0.7500 Y
0.8750 0.8848 0.7500 Y
0.5000 0.5000 0.0000 Te
0.2500 0.7500 0.5000 Te
```

energy relative to the elements, uncorrected = -0.447 eV per atom
energy above the lowest structure with this stoichiometry = 0.541 eV per atom
space group = I-42d (122)
D(E_F) = 0.00 states/eV per cell
total magnetic moment = 0.0 μB per cell

***

| no. | energy (eV per cell) |
| --- | --- |
| 1 | -22.194 |
| 2 | -38.306 |
| 3 | -45.604 |
| 4 | -23.675 |
| 5 | -61.525 |
| 6 | -43.136 |